# AcCe5As6, optimized geometry, DFT GGA-PBE
# total DFT energy (no corrections)	-157.25	eV for the cell shown
# density of states at the Fermi level	51.20	states/eV/cell
data_AcCe5As6
_symmetry_space_group_name_H-M 'C 1 2/m 1'
_symmetry_Int_Tables_number 12
_symmetry_space_group_name_Hall '-C 2y'
_cell_length_a 7.415
_cell_length_b 12.840
_cell_length_c 7.416
_cell_angle_alpha 90.00
_cell_angle_beta 109.49
_cell_angle_gamma 90.00
loop_
_atom_site_label
_atom_site_type_symbol
_atom_site_fract_x
_atom_site_fract_y
_atom_site_fract_z
Ac1 Ac 0.000 0.000 0.000
Ce1 Ce 0.000 0.164 0.500
Ce2 Ce 0.000 0.333 0.000
Ce3 Ce 0.000 0.500 0.500
As1 As 0.240 0.500 0.256
As2 As 0.242 0.328 0.742



# MnAlSbTe2, optimized geometry, DFT GGA-PBE
# total DFT energy (no corrections)	-19.97	eV for the cell shown
# formation energy without anion corrections	0.67	eV/atom
# density of states at the Fermi level	1.44	states/eV/cell
data_MnAlSbTe2
_symmetry_space_group_name_H-M 'P 4/m m m'
_symmetry_Int_Tables_number 123
_symmetry_space_group_name_Hall '-P 4 2'
_cell_length_a 5.950
_cell_length_b 5.950
_cell_length_c 5.049
_cell_angle_alpha 90.00
_cell_angle_beta 90.00
_cell_angle_gamma 90.00
loop_
_atom_site_label
_atom_site_type_symbol
_atom_site_fract_x
_atom_site_fract_y
_atom_site_fract_z
Mn1 Mn 0.000 0.000 0.000
Al1 Al 0.500 0.500 0.000
Sb1 Sb 0.000 0.000 0.500
Te1 Te 0.000 0.500 0.500